No. 1
{
  "formula": "BiPtSe2N",
  "functional": "meta-GGA SCAN",
  "state": "PBEsol geometry",
  "raw_formation_energy_ev_per_atom": 1.71,
  "m_tot_mub_per_cell": 2.66,
  "dft_energy_ev_per_fu": -189.65,
  "sg": "P4/mmm, No. 123",
  "lattice_angstrom": [[5.359, 0.000, 0.000], [0.000, 5.359, 0.000], [0.000, 0.000, 4.063]],
  "species": ["Bi", "Pt", "Se", "Se", "N"],
  "frac_coords": [[0.000, 0.000, 0.000], [0.500, 0.500, 0.500], [0.000, 0.500, 0.000], [0.500, 0.000, 0.000], [0.000, 0.000, 0.500]]
}

***

No. 2
{
  "formula": "SrMnNi2",
  "functional": "meta-GGA SCAN",
  "state": "PBEsol geometry",
  "m_tot_mub_per_cell": 4.08,
  "dft_energy_ev_per_fu": -71.65,
  "sg": "Pmm2, No. 25",
  "formation_enthalpy_0k_mev_per_atom": 306.2,
  "lattice_angstrom": [[2.982, 0.000, 0.000], [0.000, 3.284, 0.000], [0.000, 0.000, 6.771]],
  "species": ["Sr", "Mn", "Ni", "Ni"],
  "frac_coords": [[0.000, 0.000, 0.000], [0.500, 0.500, 0.365], [0.000, 0.000, 0.519], [0.500, 0.500, 0.702]]
}

***

No. 3
{
  "formula": "Ti10O13",
  "functional": "meta-GGA SCAN",
  "state": "PBEsol geometry",
  "raw_formation_energy_ev_per_atom": -3.00,
  "m_tot_mub_per_cell": 0.00,
  "dft_energy_ev_per_fu": -310.37,
  "sg": "C2/m, No. 12",
  "lattice_angstrom": [[4.593, -2.052, 0.000], [4.593, 2.052, 0.000], [-0.880, 0.000, 11.978]],
  "species": ["Ti", "Ti", "Ti", "Ti", "Ti", "Ti", "Ti", "Ti", "Ti", "Ti", "O", "O", "O", "O", "O", "O", "O", "O", "O", "O", "O", "O", "O"],
  "frac_coords": [[0.052, 0.052, 0.377], [0.117, 0.117, 0.153], [0.193, 0.193, 0.928], [0.332, 0.332, 0.460], [0.433, 0.433, 0.232], [0.567, 0.567, 0.768], [0.668, 0.668, 0.540], [0.807, 0.807, 0.072], [0.883, 0.883, 0.847], [0.948, 0.948, 0.623], [0.000, 0.000, 0.000], [0.080, 0.080, 0.772], [0.143, 0.143, 0.542], [0.237, 0.237, 0.303], [0.317, 0.317, 0.078], [0.380, 0.380, 0.847], [0.461, 0.461, 0.612], [0.539, 0.539, 0.388], [0.620, 0.620, 0.153], [0.683, 0.683, 0.922], [0.763, 0.763, 0.697], [0.857, 0.857, 0.458], [0.920, 0.920, 0.228]]
}

***

No. 4
{
  "formula": "Ta2TcAu",
  "functional": "meta-GGA SCAN",
  "state": "PBEsol geometry",
  "m_tot_mub_per_cell": 0.00,
  "dft_energy_ev_per_fu": -237.81,
  "sg": "I-4m2, No. 119",
  "formation_enthalpy_0k_mev_per_atom": -107.0,
  "lattice_angstrom": [[-1.983, 1.983, 4.158], [1.983, -1.983, 4.158], [1.983, 1.983, -4.158]],
  "species": ["Ta", "Ta", "Tc", "Au"],
  "frac_coords": [[0.000, 0.000, 0.000], [0.750, 0.250, 0.500], [0.500, 0.500, 0.000], [0.250, 0.750, 0.500]]
}

***

No. 5
{
  "formula": "Ga2BTe",
  "functional": "meta-GGA SCAN",
  "state": "PBEsol geometry",
  "raw_formation_energy_ev_per_atom": 1.07,
  "m_tot_mub_per_cell": 0.00,
  "dft_energy_ev_per_fu": -73.08,
  "sg": "Fm-3m, No. 225",
  "lattice_angstrom": [[0.000, 3.303, 3.303], [3.303, 0.000, 3.303], [3.303, 3.303, 0.000]],
  "species": ["Ga", "Ga", "B", "Te"],
  "frac_coords": [[0.250, 0.250, 0.250], [0.750, 0.750, 0.750], [0.000, 0.000, 0.000], [0.500, 0.500, 0.500]]
}

***

No. 6
{
  "formula": "AlTeSe2",
  "functional": "meta-GGA SCAN",
  "state": "PBEsol geometry",
  "raw_formation_energy_ev_per_atom": -0.51,
  "m_tot_mub_per_cell": 0.00,
  "dft_energy_ev_per_fu": -87.22,
  "sg": "R-3m, No. 166",
  "lattice_angstrom": [[1.840, 1.062, 8.291], [-1.840, 1.062, 8.291], [0.000, -2.125, 8.291]],
  "species": ["Al", "Te", "Se", "Se"],
  "frac_coords": [[0.000, 0.000, 0.000], [0.500, 0.500, 0.500], [0.389, 0.389, 0.389], [0.611, 0.611, 0.611]]
}

***

No. 7
{
  "formula": "TaIr3",
  "functional": "meta-GGA SCAN",
  "state": "PBEsol geometry",
  "m_tot_mub_per_cell": 1.06,
  "dft_energy_ev_per_fu": -270.46,
  "sg": "Pm-3m, No. 221",
  "formation_enthalpy_0k_mev_per_atom": 2356.1,
  "lattice_angstrom": [[4.750, 0.000, 0.000], [0.000, 4.750, 0.000], [0.000, 0.000, 4.750]],
  "species": ["Ta", "Ir", "Ir", "Ir"],
  "frac_coords": [[0.000, 0.000, 0.000], [0.000, 0.000, 0.500], [0.000, 0.500, 0.000], [0.500, 0.000, 0.000]]
}

***

No. 8
{
  "formula": "KOsPt2",
  "functional": "meta-GGA SCAN",
  "state": "PBEsol geometry",
  "m_tot_mub_per_cell": 0.00,
  "dft_energy_ev_per_fu": -218.93,
  "sg": "C2/m, No. 12",
  "formation_enthalpy_0k_mev_per_atom": 417.0,
  "lattice_angstrom": [[4.232, -1.340, 0.000], [4.232, 1.340, 0.000], [-0.543, 0.000, 7.085]],
  "species": ["K", "Os", "Pt", "Pt"],
  "frac_coords": [[0.000, 0.000, 0.000], [0.500, 0.500, 0.500], [0.242, 0.242, 0.669], [0.758, 0.758, 0.331]]
}

***

No. 9
{
  "formula": "KAlCd2Mo",
  "functional": "meta-GGA SCAN",
  "state": "PBEsol geometry",
  "m_tot_mub_per_cell": 1.50,
  "dft_energy_ev_per_fu": -109.02,
  "sg": "P4/mmm, No. 123",
  "formation_enthalpy_0k_mev_per_atom": 554.3,
  "lattice_angstrom": [[5.324, 0.000, 0.000], [0.000, 5.324, 0.000], [0.000, 0.000, 4.913]],
  "species": ["K", "Al", "Cd", "Cd", "Mo"],
  "frac_coords": [[0.000, 0.000, 0.000], [0.500, 0.500, 0.000], [0.000, 0.500, 0.500], [0.500, 0.000, 0.500], [0.500, 0.500, 0.500]]
}

***

No. 10
{
  "formula": "KCrMo",
  "functional": "meta-GGA SCAN",
  "state": "PBEsol geometry",
  "m_tot_mub_per_cell": 1.40,
  "dft_energy_ev_per_fu": -58.71,
  "sg": "I4mm, No. 107",
  "formation_enthalpy_0k_mev_per_atom": 962.1,
  "lattice_angstrom": [[-1.552, 1.552, 6.762], [1.552, -1.552, 6.762], [1.552, 1.552, -6.762]],
  "species": ["K", "Cr", "Mo"],
  "frac_coords": [[0.000, 0.000, 0.000], [0.295, 0.295, 0.000], [0.721, 0.721, 0.000]]
}